Entry 1:
VASP calculation (PBE) on crystalline AcDy2Mg2 at its relaxed geometry.

a = 10.806 Å, b = 10.806 Å, c = 3.791 Å
α = 90.00°, β = 90.00°, γ = 158.86°
Fractional coordinates of all 5 atoms:
Ac 0.000 0.000 0.000
Dy 0.185 0.815 0.000
Dy 0.815 0.185 0.000
Mg 0.396 0.604 0.500
Mg 0.604 0.396 0.500

density = 6.247 Mg/m³
total DFT energy (no corrections) = -3.2104 eV/atom
crystal system = orthorhombic

***

Entry 2:
VASP calculation (PBE) on crystalline Ac3DyMg2 at its relaxed geometry.

a = 4.064 Å, b = 4.064 Å, c = 13.130 Å
α = 90.00°, β = 90.00°, γ = 90.00°
Fractional coordinates of all 6 atoms:
Ac 0.000 0.000 0.000
Ac 0.000 0.000 0.317
Ac 0.000 0.000 0.683
Dy 0.500 0.500 0.500
Mg 0.500 0.500 0.160
Mg 0.500 0.500 0.840

density = 6.832 Mg/m³
total DFT energy (no corrections) = -3.3766 eV/atom
crystal system = tetragonal

***

Entry 3:
VASP calculation (PBE) on crystalline Ac12Dy5Mg3 at its relaxed geometry.

a = 17.216 Å, b = 17.216 Å, c = 17.216 Å
α = 109.47°, β = 109.47°, γ = 109.47°
Fractional coordinates of all 80 atoms:
Ac 0.067 0.635 0.406
Ac 0.067 0.932 0.661
Ac 0.068 0.229 0.135
Ac 0.068 0.339 0.933
Ac 0.094 0.729 0.661
Ac 0.094 0.865 0.433
Ac 0.135 0.068 0.229
Ac 0.135 0.567 0.906
Ac 0.161 0.229 0.594
Ac 0.161 0.432 0.567
Ac 0.229 0.135 0.068
Ac 0.229 0.594 0.161
Ac 0.271 0.339 0.906
Ac 0.271 0.432 0.365
Ac 0.339 0.906 0.271
Ac 0.339 0.933 0.068
Ac 0.365 0.271 0.432
Ac 0.365 0.594 0.933
Ac 0.406 0.067 0.635
Ac 0.406 0.839 0.771
Ac 0.432 0.365 0.271
Ac 0.432 0.567 0.161
Ac 0.433 0.094 0.865
Ac 0.433 0.839 0.568
Ac 0.567 0.161 0.432
Ac 0.567 0.906 0.135
Ac 0.568 0.433 0.839
Ac 0.568 0.635 0.729
Ac 0.594 0.161 0.229
Ac 0.594 0.933 0.365
Ac 0.635 0.406 0.067
Ac 0.635 0.729 0.568
Ac 0.661 0.067 0.932
Ac 0.661 0.094 0.729
Ac 0.729 0.568 0.635
Ac 0.729 0.661 0.094
Ac 0.771 0.406 0.839
Ac 0.771 0.865 0.932
Ac 0.839 0.568 0.433
Ac 0.839 0.771 0.406
Ac 0.865 0.433 0.094
Ac 0.865 0.932 0.771
Ac 0.906 0.135 0.567
Ac 0.906 0.271 0.339
Ac 0.932 0.661 0.067
Ac 0.932 0.771 0.865
Ac 0.933 0.068 0.339
Ac 0.933 0.365 0.594
Dy 0.000 0.000 0.000
Dy 0.000 0.000 0.500
Dy 0.000 0.500 0.000
Dy 0.000 0.500 0.500
Dy 0.125 0.750 0.875
Dy 0.125 0.875 0.250
Dy 0.250 0.125 0.875
Dy 0.250 0.625 0.375
Dy 0.375 0.250 0.625
Dy 0.375 0.625 0.750
Dy 0.500 0.000 0.000
Dy 0.500 0.000 0.500
Dy 0.500 0.500 0.000
Dy 0.500 0.500 0.500
Dy 0.625 0.375 0.250
Dy 0.625 0.750 0.375
Dy 0.750 0.375 0.625
Dy 0.750 0.875 0.125
Dy 0.875 0.125 0.750
Dy 0.875 0.250 0.125
Mg 0.125 0.250 0.375
Mg 0.125 0.375 0.750
Mg 0.250 0.375 0.125
Mg 0.250 0.875 0.625
Mg 0.375 0.125 0.250
Mg 0.375 0.750 0.125
Mg 0.625 0.250 0.875
Mg 0.625 0.875 0.750
Mg 0.750 0.125 0.375
Mg 0.750 0.625 0.875
Mg 0.875 0.625 0.250
Mg 0.875 0.750 0.625

density = 6.104 Mg/m³
total DFT energy (no corrections) = -2.9960 eV/atom
crystal system = cubic

***

Entry 4:
VASP calculation (PBE) on crystalline Ac2DyMg9 at its relaxed geometry.

a = 10.644 Å, b = 10.644 Å, c = 10.644 Å
α = 33.88°, β = 33.88°, γ = 33.88°
Fractional coordinates of all 12 atoms:
Ac 0.141 0.141 0.141
Ac 0.859 0.859 0.859
Dy 0.000 0.000 0.000
Mg 0.079 0.581 0.581
Mg 0.334 0.334 0.334
Mg 0.419 0.419 0.921
Mg 0.419 0.921 0.419
Mg 0.500 0.500 0.500
Mg 0.581 0.079 0.581
Mg 0.581 0.581 0.079
Mg 0.666 0.666 0.666
Mg 0.921 0.419 0.419

density = 4.153 Mg/m³
total DFT energy (no corrections) = -2.3037 eV/atom
crystal system = trigonal

***

Entry 5:
VASP calculation (PBE) on crystalline AcDy2Mg at its relaxed geometry.

a = 12.540 Å, b = 12.540 Å, c = 12.540 Å
α = 16.26°, β = 16.26°, γ = 16.26°
Fractional coordinates of all 4 atoms:
Ac 0.000 0.000 0.000
Dy 0.096 0.096 0.096
Dy 0.904 0.904 0.904
Mg 0.500 0.500 0.500

density = 7.096 Mg/m³
total DFT energy (no corrections) = -3.4935 eV/atom
crystal system = trigonal

***

Entry 6:
VASP calculation (PBE) on crystalline AcDyMg17 at its relaxed geometry.

a = 7.848 Å, b = 7.848 Å, c = 7.848 Å
α = 82.34°, β = 82.34°, γ = 82.34°
Fractional coordinates of all 19 atoms:
Ac 0.000 0.000 0.000
Dy 0.338 0.338 0.338
Mg 0.023 0.023 0.496
Mg 0.023 0.496 0.023
Mg 0.162 0.671 0.671
Mg 0.319 0.319 0.813
Mg 0.319 0.813 0.319
Mg 0.368 0.662 0.969
Mg 0.368 0.969 0.662
Mg 0.496 0.023 0.023
Mg 0.565 0.565 0.565
Mg 0.662 0.368 0.969
Mg 0.662 0.969 0.368
Mg 0.671 0.162 0.671
Mg 0.671 0.671 0.162
Mg 0.762 0.762 0.762
Mg 0.813 0.319 0.319
Mg 0.969 0.368 0.662
Mg 0.969 0.662 0.368

density = 2.827 Mg/m³
total DFT energy (no corrections) = -1.9312 eV/atom
crystal system = trigonal

***

Entry 7:
VASP calculation (PBE) on crystalline AcDy2Mg at its relaxed geometry.

a = 5.020 Å, b = 5.020 Å, c = 5.220 Å
α = 90.00°, β = 90.00°, γ = 90.00°
Fractional coordinates of all 4 atoms:
Ac 0.000 0.000 0.000
Dy 0.000 0.500 0.500
Dy 0.500 0.000 0.500
Mg 0.500 0.500 0.000

density = 7.277 Mg/m³
total DFT energy (no corrections) = -3.6624 eV/atom
crystal system = tetragonal

***

Entry 8:
VASP calculation (PBE) on crystalline Ac3Dy2Mg3 at its relaxed geometry.

a = 12.281 Å, b = 12.281 Å, c = 12.281 Å
α = 161.45°, β = 152.62°, γ = 33.28°
Fractional coordinates of all 8 atoms:
Ac 0.000 0.000 0.000
Ac 0.373 0.873 0.500
Ac 0.627 0.127 0.500
Dy 0.236 0.236 0.000
Dy 0.764 0.764 0.000
Mg 0.125 0.625 0.500
Mg 0.500 0.500 0.000
Mg 0.875 0.375 0.500

density = 6.614 Mg/m³
total DFT energy (no corrections) = -3.3307 eV/atom
crystal system = orthorhombic